Density functional theory data (PBE) for a relaxed Na2Tl3O2 crystal.

abc: 3.455 3.426 12.983
angles: 90.00 97.42 90.00
Space group P2/m (No. 10)
Inequivalent atoms, fractional coordinates:
Na (0.094, 0.000, 0.188) (multiplicity 2)
Tl (0.315, 0.500, 0.625) (multiplicity 2)
Tl (0.500, 0.500, 0.000) (multiplicity 1)
O (0.401, 0.500, 0.802) (multiplicity 2)

Properties
Its formation energy from raw total energies is -0.70 eV per atom. As for the mass density: 7.533 Mg/m³. The total energy comes out at -3.508 eV/atom. The total magnetization comes out at 0.0 μB/f.u.

Density functional theory data (PBE) for a relaxed KAcHfS4 crystal.

abc: 4.896 4.896 15.496
angles: 90.00 90.00 90.00
Space group I4mm (No. 107)
Inequivalent atoms, fractional coordinates:
K (0.000, 0.000, 0.000) (multiplicity 2)
Ac (0.000, 0.000, 0.715) (multiplicity 2)
Hf (0.000, 0.000, 0.367) (multiplicity 2)
S (0.000, 0.000, 0.193) (multiplicity 2)
S (0.000, 0.000, 0.524) (multiplicity 2)
S (0.000, 0.500, 0.343) (multiplicity 4)

Properties
Its formation energy from raw total energies is -1.71 eV per atom. As for the mass density: 5.121 Mg/m³. The total energy comes out at -6.233 eV/atom. The total magnetization comes out at 0.0 μB/f.u.

Density functional theory data (PBE) for a relaxed Na3ThHg4 crystal.

abc: 3.591 3.591 16.369
angles: 90.00 90.00 90.00
Space group P4/mmm (No. 123)
Inequivalent atoms, fractional coordinates:
Na (0.000, 0.000, 0.000) (multiplicity 1)
Na (0.000, 0.000, 0.249) (multiplicity 2)
Th (0.000, 0.000, 0.500) (multiplicity 1)
Hg (0.500, 0.500, 0.124) (multiplicity 2)
Hg (0.500, 0.500, 0.370) (multiplicity 2)

Properties
For the formation energy, the calculation gives -0.218 eV/atom. As for the mass density: 8.682 Mg/m³. The total energy comes out at -1.791 eV/atom. The total magnetization comes out at 0.0 μB/f.u.

Density functional theory data (PBE) for a relaxed Li2SbW crystal.

abc: 3.0603 3.0603 28.4202
angles: 90.00 90.00 120.00
Space group R3m (No. 160, hexagonal axes)
Inequivalent atoms, fractional coordinates:
Li (0.0000, 0.0000, 0.0000) (multiplicity 3)
Li (0.0000, 0.0000, 0.2448) (multiplicity 3)
Sb (0.0000, 0.0000, 0.4929) (multiplicity 3)
W (0.0000, 0.0000, 0.7477) (multiplicity 3)

Properties
Its formation energy from raw total energies is 0.40 eV per atom. As for the mass density: 6.904 Mg/m³. The total energy comes out at -4.822 eV/atom. The total magnetization comes out at 0.0 μB/f.u.

Density functional theory data (PBE) for a relaxed ErHPt2 crystal.

abc: 2.9841 2.9841 23.6863
angles: 90.00 90.00 120.00
Space group R-3m (No. 166, hexagonal axes)
Inequivalent atoms, fractional coordinates:
Er (0.0000, 0.0000, 0.0000) (multiplicity 3)
H (0.0000, 0.0000, 0.5000) (multiplicity 3)
Pt (0.0000, 0.0000, 0.1138) (multiplicity 6)

Properties
As for the mass density: 15.230 Mg/m³. The total energy comes out at -4.865 eV/atom. The total magnetization comes out at 0.0 μB/f.u.

Density functional theory data (PBE) for a relaxed Co2BMoSe crystal.

abc: 4.487 4.487 4.153
angles: 90.00 90.00 90.00
Space group P4/mmm (No. 123)
Inequivalent atoms, fractional coordinates:
Co (0.000, 0.500, 0.000) (multiplicity 2)
B (0.000, 0.000, 0.500) (multiplicity 1)
Mo (0.000, 0.000, 0.000) (multiplicity 1)
Se (0.500, 0.500, 0.500) (multiplicity 1)

Properties
Its formation energy from raw total energies is 1.54 eV per atom. As for the mass density: 6.030 Mg/m³. The total energy comes out at -5.499 eV/atom. The total magnetization comes out at 0.0 μB/f.u.

Question: Which formula does entry 4 have?
Answer: Li2SbW

Question: The highest mass density belongs to which entry?
Answer: ErHPt2

Question: Which of these has the lowest mass density?
Answer: KAcHfS4